This record from Alexandria via LeMat-Bulk describes Ba2Zn3CuGe4 after structural relaxation. The functional is PBE.

a = 4.523 Å, b = 4.523 Å, c = 10.692 Å
α = 90.00°, β = 90.00°, γ = 90.00°
Fractional coordinates of all 10 atoms:
Ge (0.500, 0.500, 0.000)
Cu (0.500, 0.500, 0.500)
Zn (0.500, 0.000, 0.867)
Ge (0.500, 0.000, 0.622)
Ge (0.000, 0.000, 0.000)
Ge (0.000, 0.500, 0.378)
Zn (0.000, 0.000, 0.500)
Ba (0.500, 0.000, 0.257)
Zn (0.000, 0.500, 0.133)
Ba (0.000, 0.500, 0.743)

Output
calculated volume	218.76	Å³ per cell
space-group type	P-4m2, No. 115
ΔE_f	-0.349	eV per atom

***

This record from Alexandria via LeMat-Bulk describes Ba2ZnCu3Ge4 after structural relaxation. The functional is PBE.

a = 4.425 Å, b = 4.425 Å, c = 10.672 Å
α = 90.00°, β = 90.00°, γ = 90.00°
Fractional coordinates of all 10 atoms:
Ge (0.000, 0.000, 0.000)
Cu (0.500, 0.000, 0.878)
Ge (0.500, 0.000, 0.630)
Ba (0.500, 0.000, 0.250)
Cu (0.000, 0.000, 0.500)
Ba (0.000, 0.500, 0.750)
Ge (0.000, 0.500, 0.370)
Zn (0.500, 0.500, 0.500)
Ge (0.500, 0.500, 0.000)
Cu (0.000, 0.500, 0.122)

Output
calculated volume	208.92	Å³ per cell
space-group type	P-4m2, No. 115
ΔE_f	-0.310	eV per atom

***

This record from Alexandria via LeMat-Bulk describes Ba4CuH after structural relaxation. The functional is PBE.

a = 7.489 Å, b = 7.841 Å, c = 9.175 Å
α = 90.00°, β = 90.00°, γ = 90.00°
Fractional coordinates of all 12 atoms:
Ba (0.845, 0.343, 0.500)
H (0.958, 0.664, 0.500)
Ba (0.840, 0.824, 0.737)
H (0.458, 0.336, 0.000)
Ba (0.345, 0.657, 0.000)
Ba (0.840, 0.824, 0.263)
Cu (0.578, 0.011, 0.500)
Ba (0.340, 0.176, 0.763)
Ba (0.311, 0.676, 0.500)
Ba (0.340, 0.176, 0.237)
Cu (0.078, 0.989, 0.000)
Ba (0.811, 0.324, 0.000)

Output
calculated volume	538.78	Å³ per cell
space-group type	Pmn2_1, No. 31
total DFT energy (no corrections)	-2.6235	eV per atom

***

This record from Alexandria via LeMat-Bulk describes BaCu2H2 after structural relaxation. The functional is PBE.

a = 4.143 Å, b = 4.143 Å, c = 5.210 Å
α = 66.57°, β = 66.57°, γ = 90.00°
Fractional coordinates of all 5 atoms:
Ba (0.000, 0.000, 0.000)
Cu (0.647, 0.647, 0.706)
H (0.750, 0.250, 0.500)
H (0.250, 0.750, 0.500)
Cu (0.353, 0.353, 0.294)

Output
calculated volume	73.96	Å³ per cell
space-group type	I4/mmm, No. 139
total DFT energy (no corrections)	-3.2223	eV per atom

***

This record from Alexandria via LeMat-Bulk describes BaCuH2 after structural relaxation. The functional is PBE.

a = 4.733 Å, b = 4.733 Å, c = 6.285 Å
α = 67.88°, β = 67.88°, γ = 90.00°
Fractional coordinates of all 8 atoms:
Ba (0.000, 0.000, 0.000)
H (0.375, 0.625, 0.750)
Cu (0.250, 0.750, 0.500)
Ba (0.750, 0.250, 0.500)
Cu (0.500, 0.500, 0.000)
H (0.375, 0.625, 0.250)
H (0.375, 0.125, 0.250)
H (0.875, 0.625, 0.750)

Output
calculated volume	119.15	Å³ per cell
space-group type	I4_1/amd, No. 141
total DFT energy (no corrections)	-3.2732	eV per atom

***

This record from Alexandria via LeMat-Bulk describes Ba3CuH6 after structural relaxation. The functional is PBE.

a = 5.650 Å, b = 8.368 Å, c = 8.368 Å
α = 103.16°, β = 90.00°, γ = 90.00°
Fractional coordinates of all 20 atoms:
H (0.721, 0.210, 0.790)
Ba (0.979, 0.693, 0.922)
Ba (0.479, 0.307, 0.078)
H (0.720, 0.338, 0.348)
H (0.221, 0.790, 0.210)
H (0.115, 0.075, 0.925)
H (0.142, 0.124, 0.620)
Ba (0.455, 0.387, 0.613)
Ba (0.979, 0.078, 0.307)
H (0.615, 0.925, 0.075)
H (0.220, 0.662, 0.652)
H (0.720, 0.652, 0.662)
H (0.142, 0.380, 0.876)
H (0.642, 0.876, 0.380)
Ba (0.479, 0.922, 0.693)
Cu (0.013, 0.197, 0.803)
Ba (0.955, 0.613, 0.387)
H (0.220, 0.348, 0.338)
H (0.642, 0.620, 0.124)
Cu (0.513, 0.803, 0.197)

Output
calculated volume	385.24	Å³ per cell
space-group type	Cmc2_1, No. 36
total DFT energy (no corrections)	-3.3412	eV per atom

***

This record from Alexandria via LeMat-Bulk describes Ba3Cu2H9 after structural relaxation. The functional is PBE.

a = 7.235 Å, b = 7.235 Å, c = 7.235 Å
α = 83.32°, β = 83.32°, γ = 83.32°
Fractional coordinates of all 28 atoms:
H (0.750, 0.606, 0.894)
H (0.559, 0.402, 0.243)
Ba (0.414, 0.750, 0.086)
H (0.257, 0.098, 0.941)
H (0.394, 0.106, 0.250)
H (0.598, 0.757, 0.441)
H (0.902, 0.059, 0.743)
H (0.402, 0.243, 0.559)
H (0.894, 0.750, 0.606)
Cu (0.341, 0.341, 0.341)
H (0.606, 0.894, 0.750)
H (0.743, 0.902, 0.059)
Cu (0.841, 0.841, 0.841)
H (0.250, 0.394, 0.106)
H (0.941, 0.257, 0.098)
Cu (0.659, 0.659, 0.659)
Ba (0.250, 0.914, 0.586)
H (0.059, 0.743, 0.902)
Cu (0.159, 0.159, 0.159)
Ba (0.586, 0.250, 0.914)
Ba (0.914, 0.586, 0.250)
H (0.098, 0.941, 0.257)
H (0.243, 0.559, 0.402)
H (0.757, 0.441, 0.598)
Ba (0.086, 0.414, 0.750)
H (0.441, 0.598, 0.757)
H (0.106, 0.250, 0.394)
Ba (0.750, 0.086, 0.414)

Output
calculated volume	371.63	Å³ per cell
space-group type	R-3c, No. 167
total DFT energy (no corrections)	-3.4557	eV per atom

***

This record from Alexandria via LeMat-Bulk describes BaCu2H4 after structural relaxation. The functional is PBE.

a = 7.263 Å, b = 5.214 Å, c = 5.592 Å
α = 77.45°, β = 72.10°, γ = 106.01°
Fractional coordinates of all 14 atoms:
Ba (0.977, 0.852, 0.905)
H (0.376, 0.982, 0.438)
Cu (0.589, 0.261, 0.208)
Cu (0.235, 0.923, 0.255)
Cu (0.911, 0.422, 0.548)
Cu (0.265, 0.439, 0.240)
Ba (0.524, 0.626, 0.631)
H (0.541, 0.562, 0.151)
H (0.752, 0.299, 0.885)
H (0.748, 0.297, 0.387)
H (0.220, 0.215, 0.064)
H (0.280, 0.745, 0.034)
H (0.124, 0.356, 0.564)
H (0.959, 0.771, 0.442)

Output
calculated volume	182.84	Å³ per cell
space-group type	Cc, No. 9
total DFT energy (no corrections)	-3.5684	eV per atom

***

What is the calculated volume in the sixth record?
385.24 Å³ per cell